Entry 1:
Entry from Alexandria via LeMat-Bulk: a relaxed structure of Dy3MgPt12 (PBE).

The structure in CIF format:
```
data_Dy3MgPt12
_cell_length_a 4.093
_cell_length_b 4.093
_cell_length_c 16.225
_cell_angle_alpha 90.00
_cell_angle_beta 90.00
_cell_angle_gamma 90.00
_symmetry_space_group_name_H-M 'P 4/m m m'
_symmetry_Int_Tables_number 123
_symmetry_space_group_name_Hall '-P 4 2'
loop_
_atom_site_label
_atom_site_fract_x
_atom_site_fract_y
_atom_site_fract_z
Dy1 0.000 0.000 0.000
Dy2 0.000 0.000 0.255
Mg1 0.000 0.000 0.500
Pt1 0.000 0.500 0.128
Pt2 0.000 0.500 0.383
Pt3 0.500 0.500 0.000
Pt4 0.500 0.500 0.255
Pt5 0.500 0.500 0.500
```

Computed properties:
Total magnetization (μB/f.u.): 0.00
Density of states at the Fermi level (states/eV per atom): 0.933
Formation energy (eV/atom): -0.9187

Entry 2:
Entry from Alexandria via LeMat-Bulk: a relaxed structure of DyMgPt (PBE).

The structure in CIF format:
```
data_DyMgPt
_cell_length_a 4.5587
_cell_length_b 4.5587
_cell_length_c 3.6224
_cell_angle_alpha 90.00
_cell_angle_beta 90.00
_cell_angle_gamma 120.00
_symmetry_space_group_name_H-M 'P -6 m 2'
_symmetry_Int_Tables_number 187
_symmetry_space_group_name_Hall 'P -6 2'
loop_
_atom_site_label
_atom_site_fract_x
_atom_site_fract_y
_atom_site_fract_z
Dy1 0.0000 0.0000 0.0000
Mg1 0.6667 0.3333 0.5000
Pt1 0.3333 0.6667 0.5000
```

Computed properties:
Total magnetization (μB/f.u.): 0.00
Density of states at the Fermi level (states/eV per atom): 0.969
Formation energy (eV/atom): -0.7154

Entry 3:
Entry from Alexandria via LeMat-Bulk: a relaxed structure of DyMgPt (PBE).

The structure in CIF format:
```
data_DyMgPt
_cell_length_a 6.624
_cell_length_b 6.624
_cell_length_c 6.624
_cell_angle_alpha 90.00
_cell_angle_beta 90.00
_cell_angle_gamma 90.00
_symmetry_space_group_name_H-M 'F -4 3 m'
_symmetry_Int_Tables_number 216
_symmetry_space_group_name_Hall 'F -4 2 3'
loop_
_atom_site_label
_atom_site_fract_x
_atom_site_fract_y
_atom_site_fract_z
Dy1 0.000 0.000 0.000
Mg1 0.000 0.000 0.500
Pt1 0.250 0.250 0.750
```

Computed properties:
Total magnetization (μB/f.u.): 0.00
Density of states at the Fermi level (states/eV per atom): 0.630
Formation energy (eV/atom): -0.8428

Entry 4:
Entry from Alexandria via LeMat-Bulk: a relaxed structure of DyMgRuPt (PBE).

The structure in CIF format:
```
data_DyMgRuPt
_cell_length_a 6.603
_cell_length_b 6.603
_cell_length_c 6.603
_cell_angle_alpha 90.00
_cell_angle_beta 90.00
_cell_angle_gamma 90.00
_symmetry_space_group_name_H-M 'F -4 3 m'
_symmetry_Int_Tables_number 216
_symmetry_space_group_name_Hall 'F -4 2 3'
loop_
_atom_site_label
_atom_site_fract_x
_atom_site_fract_y
_atom_site_fract_z
Dy1 0.000 0.000 0.000
Mg1 0.000 0.000 0.500
Ru1 0.250 0.250 0.750
Pt1 0.250 0.250 0.250
```

Computed properties:
Total magnetization (μB/f.u.): 0.00
Density of states at the Fermi level (states/eV per atom): 0.391
Formation energy (eV/atom): -0.5762

Entry 5:
Entry from Alexandria via LeMat-Bulk: a relaxed structure of DyMgSc2Pt2 (PBE).

The structure in CIF format:
```
data_DyMgSc2Pt2
_cell_length_a 4.7348
_cell_length_b 4.7348
_cell_length_c 6.3524
_cell_angle_alpha 90.00
_cell_angle_beta 90.00
_cell_angle_gamma 120.00
_symmetry_space_group_name_H-M 'P -3 m 1'
_symmetry_Int_Tables_number 164
_symmetry_space_group_name_Hall '-P 3 2"'
loop_
_atom_site_label
_atom_site_fract_x
_atom_site_fract_y
_atom_site_fract_z
Dy1 0.0000 0.0000 0.0000
Mg1 0.0000 0.0000 0.5000
Sc1 0.3333 0.6667 0.6805
Pt1 0.3333 0.6667 0.2485
```

Computed properties:
Total magnetization (μB/f.u.): 0.00
Density of states at the Fermi level (states/eV per atom): 0.743
Formation energy (eV/atom): -0.9228

Entry 6:
Entry from Alexandria via LeMat-Bulk: a relaxed structure of DyMgSc2Pt4 (PBE).

The structure in CIF format:
```
data_DyMgSc2Pt4
_cell_length_a 4.6648
_cell_length_b 4.6648
_cell_length_c 23.4803
_cell_angle_alpha 90.00
_cell_angle_beta 90.00
_cell_angle_gamma 120.00
_symmetry_space_group_name_H-M 'R -3 m'
_symmetry_Int_Tables_number 166
_symmetry_space_group_name_Hall '-R 3 2"'
loop_
_atom_site_label
_atom_site_fract_x
_atom_site_fract_y
_atom_site_fract_z
Dy1 0.0000 0.0000 0.0000
Mg1 0.0000 0.0000 0.5000
Sc1 0.0000 0.0000 0.2439
Pt1 0.0000 0.0000 0.1247
Pt2 0.0000 0.0000 0.3826
```

Computed properties:
Total magnetization (μB/f.u.): 0.00
Density of states at the Fermi level (states/eV per atom): 0.686
Formation energy (eV/atom): -1.1309

Entry 7:
Entry from Alexandria via LeMat-Bulk: a relaxed structure of DyMgScPt (PBE).

The structure in CIF format:
```
data_DyMgScPt
_cell_length_a 6.987
_cell_length_b 6.987
_cell_length_c 6.987
_cell_angle_alpha 90.00
_cell_angle_beta 90.00
_cell_angle_gamma 90.00
_symmetry_space_group_name_H-M 'F -4 3 m'
_symmetry_Int_Tables_number 216
_symmetry_space_group_name_Hall 'F -4 2 3'
loop_
_atom_site_label
_atom_site_fract_x
_atom_site_fract_y
_atom_site_fract_z
Dy1 0.000 0.000 0.000
Mg1 0.250 0.250 0.250
Sc1 0.000 0.000 0.500
Pt1 0.250 0.250 0.750
```

Computed properties:
Total magnetization (μB/f.u.): 0.00
Density of states at the Fermi level (states/eV per atom): 0.822
Formation energy (eV/atom): -0.6007

Entry 8:
Entry from Alexandria via LeMat-Bulk: a relaxed structure of DyMgSi2Pt5 (PBE).

The structure in CIF format:
```
data_DyMgSi2Pt5
_cell_length_a 4.134
_cell_length_b 4.134
_cell_length_c 8.945
_cell_angle_alpha 90.00
_cell_angle_beta 90.00
_cell_angle_gamma 90.00
_symmetry_space_group_name_H-M 'P 4/m m m'
_symmetry_Int_Tables_number 123
_symmetry_space_group_name_Hall '-P 4 2'
loop_
_atom_site_label
_atom_site_fract_x
_atom_site_fract_y
_atom_site_fract_z
Dy1 0.000 0.000 0.000
Mg1 0.000 0.000 0.500
Si1 0.500 0.500 0.373
Pt1 0.000 0.500 0.239
Pt2 0.500 0.500 0.000
```

Computed properties:
Total magnetization (μB/f.u.): 0.00
Density of states at the Fermi level (states/eV per atom): 0.356
E_form (uncorrected) (kJ per mole of atoms): -87.7

Entry 9:
Entry from Alexandria via LeMat-Bulk: a relaxed structure of Dy2MgSi4Pt3 (PBE).

The structure in CIF format:
```
data_Dy2MgSi4Pt3
_cell_length_a 4.110
_cell_length_b 4.110
_cell_length_c 10.524
_cell_angle_alpha 90.00
_cell_angle_beta 90.00
_cell_angle_gamma 90.00
_symmetry_space_group_name_H-M 'P -4 m 2'
_symmetry_Int_Tables_number 115
_symmetry_space_group_name_Hall 'P -4 -2'
loop_
_atom_site_label
_atom_site_fract_x
_atom_site_fract_y
_atom_site_fract_z
Dy1 0.000 0.500 0.246
Mg1 0.000 0.000 0.500
Si1 0.000 0.000 0.000
Si2 0.000 0.500 0.650
Si3 0.500 0.500 0.000
Pt1 0.000 0.500 0.878
Pt2 0.500 0.500 0.500
```

Computed properties:
Total magnetization (μB/f.u.): 0.00
Density of states at the Fermi level (states/eV per atom): 0.251
E_form (uncorrected) (kJ per mole of atoms): -93.7

Entry 10:
Entry from Alexandria via LeMat-Bulk: a relaxed structure of DyMgSi2Pt2 (PBE).

The structure in CIF format:
```
data_DyMgSi2Pt2
_cell_length_a 4.2449
_cell_length_b 4.2449
_cell_length_c 6.7785
_cell_angle_alpha 90.00
_cell_angle_beta 90.00
_cell_angle_gamma 120.00
_symmetry_space_group_name_H-M 'P -3 m 1'
_symmetry_Int_Tables_number 164
_symmetry_space_group_name_Hall '-P 3 2"'
loop_
_atom_site_label
_atom_site_fract_x
_atom_site_fract_y
_atom_site_fract_z
Dy1 0.0000 0.0000 0.0000
Mg1 0.0000 0.0000 0.5000
Si1 0.3333 0.6667 0.7112
Pt1 0.3333 0.6667 0.2940
```

Computed properties:
Total magnetization (μB/f.u.): 0.00
Density of states at the Fermi level (states/eV per atom): 0.391
E_form (uncorrected) (kJ per mole of atoms): -92.1

Entry 11:
Entry from Alexandria via LeMat-Bulk: a relaxed structure of Dy2MgSi3Pt4 (PBE).

The structure in CIF format:
```
data_Dy2MgSi3Pt4
_cell_length_a 4.184
_cell_length_b 4.184
_cell_length_c 10.260
_cell_angle_alpha 90.00
_cell_angle_beta 90.00
_cell_angle_gamma 90.00
_symmetry_space_group_name_H-M 'P -4 m 2'
_symmetry_Int_Tables_number 115
_symmetry_space_group_name_Hall 'P -4 -2'
loop_
_atom_site_label
_atom_site_fract_x
_atom_site_fract_y
_atom_site_fract_z
Dy1 0.000 0.500 0.245
Mg1 0.000 0.000 0.500
Si1 0.000 0.500 0.871
Si2 0.500 0.500 0.500
Pt1 0.000 0.000 0.000
Pt2 0.000 0.500 0.643
Pt3 0.500 0.500 0.000
```

Computed properties:
Total magnetization (μB/f.u.): 0.00
Density of states at the Fermi level (states/eV per atom): 0.453
E_form (uncorrected) (kJ per mole of atoms): -101.5

Entry 12:
Entry from Alexandria via LeMat-Bulk: a relaxed structure of DyMgSnPt (PBE).

The structure in CIF format:
```
data_DyMgSnPt
_cell_length_a 6.992
_cell_length_b 6.992
_cell_length_c 6.992
_cell_angle_alpha 90.00
_cell_angle_beta 90.00
_cell_angle_gamma 90.00
_symmetry_space_group_name_H-M 'F -4 3 m'
_symmetry_Int_Tables_number 216
_symmetry_space_group_name_Hall 'F -4 2 3'
loop_
_atom_site_label
_atom_site_fract_x
_atom_site_fract_y
_atom_site_fract_z
Dy1 0.000 0.000 0.000
Mg1 0.000 0.000 0.500
Sn1 0.250 0.250 0.750
Pt1 0.250 0.250 0.250
```

Computed properties:
Total magnetization (μB/f.u.): 0.00
Density of states at the Fermi level (states/eV per atom): 0.788
Formation energy (eV/atom): -0.6958

- Among the records above, which one has the highest density of states at the Fermi level?
  number 2